Material: BaSnPCl2
Method: DFT, PBE
State: relaxed

Cell lengths 5.430, 5.430, 5.135 Å; angles 90.00, 90.00, 90.00 degrees
Element x y z (fractional)
Ba: 0.500 0.500 0.500
P: 0.000 0.000 0.500
Cl: 0.000 0.500 0.000
Cl: 0.500 0.000 0.000
Sn: 0.000 0.000 0.000

Raw formation energy: -963 meV per atom
Calculated total energy: -3.97 eV/atom
N(E_F): 0.28 states/eV/cell